[1]
Material: YTmTe2
Method: DFT, GGA-PBE
State: relaxed

a = 4.444 Å, b = 9.661 Å, c = 8.137 Å
α = 90.00°, β = 123.04°, γ = 90.00°
Space group Pc (No. 7)
Asymmetric unit:
Y1 0.000 0.086 0.000 x2
Tm1 0.159 0.322 0.659 x2
Te1 0.778 0.178 0.279 x2
Te2 0.909 0.413 0.910 x2

- Formation energy from raw total energies: -0.92 eV per atom
- Distance to the lowest polymorph of the same formula: 1.41 eV/f.u.
- Fermi-level density of states: 0.448 states/eV per atom
- Spin magnetization: 0.00 μB/atom

[2]
Material: Y3TmTe6
Method: DFT, GGA-PBE
State: relaxed

a = 12.7733 Å, b = 12.7733 Å, c = 15.4639 Å
α = 90.00°, β = 90.00°, γ = 120.00°
Space group R-3 (No. 148, hexagonal axes)
Asymmetric unit:
Y1 0.0571 0.7820 0.2002 x18
Tm1 0.0000 0.0000 0.0000 x3
Tm2 0.0000 0.0000 0.5000 x3
Te1 0.0154 0.8083 0.3938 x18
Te2 0.0340 0.8377 0.8774 x18

- Formation energy from raw total energies: -1.35 eV per atom
- Distance to the lowest polymorph of the same formula: 0.08 eV/f.u.
- Fermi-level density of states: 0.000 states/eV per atom
- Spin magnetization: 0.00 μB/atom